VASP calculation (PBE) on crystalline TlZnRe2 at its relaxed geometry.

a = 2.9886 Å, b = 4.8541 Å, c = 9.8963 Å
α = 90.00°, β = 90.00°, γ = 90.00°
Space group Cmm2 (No. 35)
Unique sites:
1 Tl 0.0000 0.0000 0.0000 (multiplicity 2)
2 Zn 0.0000 0.5000 0.7151 (multiplicity 2)
3 Re 0.0000 0.0000 0.4894 (multiplicity 2)
4 Re 0.0000 0.5000 0.2784 (multiplicity 2)

Energy of formation = 0.60 eV per atom
Density of states at the Fermi level = 2.867 states/eV/f.u.
Calculated volume = 143.6 Å³ per cell
ΔE to the lowest computed polymorph = 229.5 meV per atom
E = -6.53 eV/atom
Theoretical density = 14.86 g cm⁻³

VASP calculation (PBE) on crystalline VGaPbN2 at its relaxed geometry.

a = 3.8725 Å, b = 3.8725 Å, c = 5.6078 Å
α = 90.00°, β = 90.00°, γ = 90.00°
Space group P4/mmm (No. 123)
Unique sites:
1 V 0.0000 0.0000 0.0000 (multiplicity 1)
2 Ga 0.5000 0.5000 0.5000 (multiplicity 1)
3 Pb 0.5000 0.5000 0.0000 (multiplicity 1)
4 N 0.0000 0.5000 0.5000 (multiplicity 2)

Uncorrected formation energy = 1647 meV/atom
Density of states at the Fermi level = 6.156 states/eV/f.u.
Calculated volume = 84.1 Å³ per cell
E = -4.85 eV/atom
Theoretical density = 7.03 g cm⁻³

VASP calculation (PBE) on crystalline Cs3Ac3GeS8 at its relaxed geometry.

a = 8.5994 Å, b = 8.5994 Å, c = 24.8242 Å
α = 90.00°, β = 90.00°, γ = 120.00°
Space group R-3m (No. 166, hexagonal axes)
Unique sites:
1 Cs 0.0000 0.5000 0.0000 (multiplicity 9)
2 Ac 0.0000 0.5000 0.5000 (multiplicity 9)
3 Ge 0.0000 0.0000 0.5000 (multiplicity 3)
4 S 0.0000 0.0000 0.2312 (multiplicity 6)
5 S 0.0492 0.5246 0.2238 (multiplicity 18)

Uncorrected formation energy = -1438 meV/atom
Density of states at the Fermi level = 1.149 states/eV/f.u.
Calculated volume = 1589.8 Å³ per cell
E = -4.94 eV/atom
Theoretical density = 4.41 g cm⁻³

VASP calculation (PBE) on crystalline Dy3Er3In at its relaxed geometry.

a = 9.3289 Å, b = 9.3289 Å, c = 5.5034 Å
α = 90.00°, β = 90.00°, γ = 120.00°
Space group P6_3/m (No. 176)
Unique sites:
1 Dy 0.1053 0.6259 0.2500 (multiplicity 6)
2 Er 0.0625 0.8220 0.7500 (multiplicity 6)
3 In 0.3333 0.6667 0.7500 (multiplicity 2)

Energy of formation = -0.11 eV per atom
Density of states at the Fermi level = 9.541 states/eV/f.u.
Calculated volume = 414.8 Å³ per cell
ΔE to the lowest computed polymorph = 0.0 meV per atom
E = -4.43 eV/atom
Theoretical density = 8.84 g cm⁻³

Q: What is the formula in the first record?
A: TlZnRe2

Q: What is the formula in the second record?
A: VGaPbN2

Q: Which value of E does entry 3 give?
A: -4.94 eV/atom